Record 1
A relaxed structure of VFe2BrCl, computed with PBE.

Geometry as CIF:
```
data_VFe2BrCl
_chemical_formula_sum 'V1 Fe2 Br1 Cl1'
_symmetry_space_group_name_H-M 'P 4/m m m'
_symmetry_Int_Tables_number 123
_symmetry_space_group_name_Hall '-P 4 2'
_cell_length_a 3.976
_cell_length_b 3.976
_cell_length_c 5.968
_cell_angle_alpha 90.00
_cell_angle_beta 90.00
_cell_angle_gamma 90.00
loop_
_atom_site_label
_atom_site_type_symbol
_atom_site_fract_x
_atom_site_fract_y
_atom_site_fract_z
_atom_site_occupancy
V1 V 0.000 0.000 0.000 1
Fe1 Fe 0.000 0.500 0.500 1
Br1 Br 0.500 0.500 0.000 1
Cl1 Cl 0.500 0.500 0.500 1
```

Output
Total magnetic moment   0.18 μB/f.u.
Formation energy (no corrections)   1311.6 meV/atom
N(E_F)   12.706 states/eV per cell


Record 2
A relaxed structure of MgFeCS2, computed with PBE.

Geometry as CIF:
```
data_MgFeCS2
_chemical_formula_sum 'Mg1 Fe1 C1 S2'
_symmetry_space_group_name_H-M 'P 4/m m m'
_symmetry_Int_Tables_number 123
_symmetry_space_group_name_Hall '-P 4 2'
_cell_length_a 4.452
_cell_length_b 4.452
_cell_length_c 3.572
_cell_angle_alpha 90.00
_cell_angle_beta 90.00
_cell_angle_gamma 90.00
loop_
_atom_site_label
_atom_site_type_symbol
_atom_site_fract_x
_atom_site_fract_y
_atom_site_fract_z
_atom_site_occupancy
Mg1 Mg 0.000 0.000 0.000 1
Fe1 Fe 0.500 0.500 0.000 1
C1 C 0.500 0.500 0.500 1
S1 S 0.000 0.500 0.500 1
```

Output
Total magnetic moment   0.00 μB/f.u.
Formation energy (no corrections)   606.6 meV/atom
N(E_F)   2.627 states/eV per cell


Record 3
A relaxed structure of CsAlTl, computed with PBE.

Geometry as CIF:
```
data_CsAlTl
_chemical_formula_sum 'Cs2 Al2 Tl2'
_symmetry_space_group_name_H-M 'P 1 21 1'
_symmetry_Int_Tables_number 4
_cell_length_a 6.646
_cell_length_b 5.030
_cell_length_c 7.411
_cell_angle_alpha 90.00
_cell_angle_beta 90.38
_cell_angle_gamma 90.00
loop_
_symmetry_equiv_pos_as_xyz
'x,y,z'
'-x,y+1/2,-z'
loop_
_atom_site_label
_atom_site_type_symbol
_atom_site_fract_x
_atom_site_fract_y
_atom_site_fract_z
_atom_site_occupancy
Cs1 Cs 0.003 0.000 0.255 1
Al1 Al 0.470 0.254 0.003 1
Tl1 Tl 0.489 0.005 0.639 1
```

Output
Total magnetic moment   0.00 μB/f.u.
N(E_F)   3.330 states/eV per cell
Calculated formation energy   133 meV/atom


Record 4
A relaxed structure of SbTe2Cl, computed with PBE.

Geometry as CIF:
```
data_SbTe2Cl
_chemical_formula_sum 'Sb1 Te2 Cl1'
_symmetry_space_group_name_H-M 'P 4 m m'
_symmetry_Int_Tables_number 99
_cell_length_a 3.297
_cell_length_b 3.297
_cell_length_c 11.570
_cell_angle_alpha 90.00
_cell_angle_beta 90.00
_cell_angle_gamma 90.00
loop_
_symmetry_equiv_pos_as_xyz
'x,y,z'
'-y,x,z'
'-x,-y,z'
'y,-x,z'
'-x,y,z'
'y,x,z'
'x,-y,z'
'-y,-x,z'
loop_
_atom_site_label
_atom_site_type_symbol
_atom_site_fract_x
_atom_site_fract_y
_atom_site_fract_z
_atom_site_occupancy
Sb1 Sb 0.000 0.000 0.000 1
Te1 Te 0.000 0.000 0.487 1
Te2 Te 0.500 0.500 0.192 1
Cl1 Cl 0.500 0.500 0.839 1
```

Output
Total magnetic moment   0.00 μB/f.u.
Formation energy (no corrections)   107.6 meV/atom
ΔE to the lowest computed polymorph   0.365 eV per atom
N(E_F)   2.243 states/eV per cell


Record 5
A relaxed structure of CaPuIr2, computed with PBE.

Geometry as CIF:
```
data_CaPuIr2
_chemical_formula_sum 'Ca1 Pu1 Ir2'
_symmetry_space_group_name_H-M 'P 4/m m m'
_symmetry_Int_Tables_number 123
_symmetry_space_group_name_Hall '-P 4 2'
_cell_length_a 3.268
_cell_length_b 3.268
_cell_length_c 7.538
_cell_angle_alpha 90.00
_cell_angle_beta 90.00
_cell_angle_gamma 90.00
loop_
_atom_site_label
_atom_site_type_symbol
_atom_site_fract_x
_atom_site_fract_y
_atom_site_fract_z
_atom_site_occupancy
Ca1 Ca 0.000 0.000 0.000 1
Pu1 Pu 0.000 0.000 0.500 1
Ir1 Ir 0.500 0.500 0.269 1
```

Output
Total magnetic moment   4.60 μB/f.u.
ΔE to the lowest computed polymorph   0.000 eV per atom
N(E_F)   8.577 states/eV per cell
Calculated formation energy   -341 meV/atom


Record 6
A relaxed structure of Ba2BeTc, computed with PBE.

Geometry as CIF:
```
data_Ba2BeTc
_chemical_formula_sum 'Ba4 Be2 Tc2'
_symmetry_space_group_name_H-M 'A m m 2'
_symmetry_Int_Tables_number 38
_cell_length_a 4.259
_cell_length_b 4.860
_cell_length_c 11.768
_cell_angle_alpha 90.00
_cell_angle_beta 90.00
_cell_angle_gamma 90.00
loop_
_symmetry_equiv_pos_as_xyz
'x,y,z'
'-x,-y,z'
'-x,y,z'
'x,-y,z'
'x,y+1/2,z+1/2'
'-x,-y+1/2,z+1/2'
'-x,y+1/2,z+1/2'
'x,-y+1/2,z+1/2'
loop_
_atom_site_label
_atom_site_type_symbol
_atom_site_fract_x
_atom_site_fract_y
_atom_site_fract_z
_atom_site_occupancy
Ba1 Ba 0.000 0.000 0.000 1
Ba2 Ba 0.500 0.000 0.283 1
Be1 Be 0.000 0.000 0.683 1
Tc1 Tc 0.500 0.000 0.615 1
```

Output
Total magnetic moment   0.58 μB/f.u.
N(E_F)   7.331 states/eV per cell
Calculated formation energy   532 meV/atom


Record 7
A relaxed structure of KTeAs, computed with PBE.

Geometry as CIF:
```
data_KTeAs
_chemical_formula_sum 'K2 Te2 As2'
_symmetry_space_group_name_H-M 'I m m 2'
_symmetry_Int_Tables_number 44
_cell_length_a 3.189
_cell_length_b 5.725
_cell_length_c 11.195
_cell_angle_alpha 90.00
_cell_angle_beta 90.00
_cell_angle_gamma 90.00
loop_
_symmetry_equiv_pos_as_xyz
'x,y,z'
'-x,-y,z'
'-x,y,z'
'x,-y,z'
'x+1/2,y+1/2,z+1/2'
'-x+1/2,-y+1/2,z+1/2'
'-x+1/2,y+1/2,z+1/2'
'x+1/2,-y+1/2,z+1/2'
loop_
_atom_site_label
_atom_site_type_symbol
_atom_site_fract_x
_atom_site_fract_y
_atom_site_fract_z
_atom_site_occupancy
K1 K 0.000 0.000 0.000 1
Te1 Te 0.000 0.000 0.640 1
As1 As 0.000 0.000 0.405 1
```

Output
Total magnetic moment   0.00 μB/f.u.
Formation energy (no corrections)   -200.7 meV/atom
ΔE to the lowest computed polymorph   0.283 eV per atom
N(E_F)   3.442 states/eV per cell


Record 8
A relaxed structure of Nd2Sm5Er4, computed with PBE.

Geometry as CIF:
```
data_Nd2Sm5Er4
_chemical_formula_sum 'Nd4 Sm10 Er8'
_symmetry_space_group_name_H-M 'I m m m'
_symmetry_Int_Tables_number 71
_symmetry_space_group_name_Hall '-I 2 2'
_cell_length_a 3.522
_cell_length_b 9.112
_cell_length_c 23.461
_cell_angle_alpha 90.00
_cell_angle_beta 90.00
_cell_angle_gamma 90.00
loop_
_atom_site_label
_atom_site_type_symbol
_atom_site_fract_x
_atom_site_fract_y
_atom_site_fract_z
_atom_site_occupancy
Nd1 Nd 0.000 0.000 0.232 1
Sm1 Sm 0.000 0.198 0.357 1
Sm2 Sm 0.000 0.500 0.000 1
Er1 Er 0.000 0.000 0.096 1
Er2 Er 0.000 0.314 0.500 1
```

Output
Total magnetic moment   0.00 μB/f.u.
ΔE to the lowest computed polymorph   0.161 eV per atom
N(E_F)   31.455 states/eV per cell
Calculated formation energy   180 meV/atom


Record 9
A relaxed structure of Pr2BePd4, computed with PBE.

Geometry as CIF:
```
data_Pr2BePd4
_chemical_formula_sum 'Pr4 Be2 Pd8'
_symmetry_space_group_name_H-M 'C m m m'
_symmetry_Int_Tables_number 65
_symmetry_space_group_name_Hall '-C 2 2'
_cell_length_a 4.816
_cell_length_b 17.854
_cell_length_c 3.661
_cell_angle_alpha 90.00
_cell_angle_beta 90.00
_cell_angle_gamma 90.00
loop_
_atom_site_label
_atom_site_type_symbol
_atom_site_fract_x
_atom_site_fract_y
_atom_site_fract_z
_atom_site_occupancy
Pr1 Pr 0.000 0.162 0.000 1
Be1 Be 0.000 0.500 0.500 1
Pd1 Pd 0.000 0.300 0.500 1
Pd2 Pd 0.000 0.424 0.000 1
```

Output
Total magnetic moment   0.00 μB/f.u.
N(E_F)   6.618 states/eV per cell
Calculated formation energy   -457 meV/atom


Record 10
A relaxed structure of YTeCl, computed with PBE.

Geometry as CIF:
```
data_YTeCl
_chemical_formula_sum 'Y4 Te4 Cl4'
_symmetry_space_group_name_H-M 'F -4 3 m'
_symmetry_Int_Tables_number 216
_symmetry_space_group_name_Hall 'F -4 2 3'
_cell_length_a 7.149
_cell_length_b 7.149
_cell_length_c 7.149
_cell_angle_alpha 90.00
_cell_angle_beta 90.00
_cell_angle_gamma 90.00
loop_
_atom_site_label
_atom_site_type_symbol
_atom_site_fract_x
_atom_site_fract_y
_atom_site_fract_z
_atom_site_occupancy
Y1 Y 0.000 0.000 0.000 1
Te1 Te 0.250 0.250 0.750 1
Cl1 Cl 0.250 0.250 0.250 1
```

Output
Total magnetic moment   0.00 μB/f.u.
Formation energy (no corrections)   -1597.3 meV/atom
N(E_F)   0.000 states/eV per cell